First-principles (PBE) data for an optimized crystal structure of Ti2Nb2Ga3, as listed in Alexandria via LeMat-Bulk. Values from VASP.

Properties
As for the excess energy over the best structure of this formula in the dataset: 0.0000 eV/atom. The calculation puts the total magnetic moment at 0.0 μB/f.u. Its formation energy is -0.31 eV per atom.

```
&SYSTEM
  ibrav = 0, nat = 7, ntyp = 3
/
ATOMIC_SPECIES
Ga 69.72 Ga.upf
Nb 92.91 Nb.upf
Ti 47.87 Ti.upf
CELL_PARAMETERS angstrom
3.7281 -0.4013 -0.5755
-3.0007 6.7034 0.8951
-1.2061 -0.4736 5.0340
ATOMIC_POSITIONS angstrom
Ga -0.9736 3.3714 3.8555
Ga 0.0000 0.0000 0.0000
Nb -1.2515 4.5669 1.2178
Ti -2.7318 5.3728 3.5730
Nb 0.7728 1.2615 4.1358
Ti 2.2531 0.4556 1.7807
Ga 0.4949 2.4570 1.4981
```